(1)
{
  "formula": "ReBiB3",
  "functional": "meta-GGA SCAN",
  "state": "single point on PBEsol structure",
  "final_energy_ev_per_atom": -33.20,
  "m_tot_mub_per_fu": 0.0,
  "dos_ef_per_ev_atom": 0.51,
  "lattice": [[-1.8194, 2.1150, -3.1352], [0.0431, -3.4674, -2.3641], [-3.7817, -1.0571, 1.4815]],
  "species": ["Re", "B", "B", "B", "Bi"],
  "frac_coords": [[0.0000, 0.0000, 0.0000], [0.0000, 0.5000, 0.0000], [0.0000, 0.0000, 0.5000], [0.5000, 0.0000, 0.0000], [0.5000, 0.5000, 0.5000]]
}


(2)
{
  "formula": "CrCoNi2",
  "functional": "meta-GGA SCAN",
  "state": "single point on PBEsol structure",
  "final_energy_ev_per_atom": -16.89,
  "m_tot_mub_per_fu": 0.2,
  "dos_ef_per_ev_atom": 1.08,
  "lattice": [[-1.3566, -1.1028, 1.6997], [2.5320, 0.4386, 2.3056], [-1.9172, 4.3329, 1.2812]],
  "species": ["Ni", "Ni", "Co", "Cr"],
  "frac_coords": [[0.0000, 0.0000, 0.0019], [0.5000, 0.5000, 0.2494], [0.0000, 0.0000, 0.5058], [0.5000, 0.5000, 0.7429]]
}